DFT (GGA-PBE) results for crystalline Ac2PmIn at its relaxed geometry.

Cell lengths 3.938, 3.938, 9.699 Å; angles 90.00, 90.00, 90.00 degrees
Fractional positions:
Ac 0.000 0.000 0.226
Ac 0.000 0.000 0.774
Pm 0.500 0.500 0.500
In 0.500 0.500 0.000

E above lowest polymorph: 34 meV/atom
Energy of formation from the pure elements: -0.1617 eV per atom


DFT (GGA-PBE) results for crystalline LiAcAgAu at its relaxed geometry.

Cell lengths 5.243, 5.243, 5.243 Å; angles 60.00, 60.00, 60.00 degrees
Fractional positions:
Li 0.000 0.000 0.000
Ac 0.500 0.500 0.500
Ag 0.750 0.750 0.750
Au 0.250 0.250 0.250

E above lowest polymorph: 103 meV/atom
Energy of formation from the pure elements: -0.3953 eV per atom


DFT (GGA-PBE) results for crystalline Ac2BPt6Rh at its relaxed geometry.

Cell lengths 7.495, 7.495, 7.495 Å; angles 45.58, 45.58, 45.58 degrees
Fractional positions:
Ac 0.213 0.213 0.213
Ac 0.787 0.787 0.787
B 0.000 0.000 0.000
Pt 0.234 0.234 0.706
Pt 0.234 0.706 0.234
Pt 0.294 0.766 0.766
Pt 0.706 0.234 0.234
Pt 0.766 0.294 0.766
Pt 0.766 0.766 0.294
Rh 0.500 0.500 0.500

Energy of formation from the pure elements: -0.7595 eV per atom


DFT (GGA-PBE) results for crystalline NdPuPdPt at its relaxed geometry.

Cell lengths 4.363, 5.882, 5.882 Å; angles 38.96, 90.00, 90.00 degrees
Fractional positions:
Nd 0.000 0.000 0.000
Pu 0.500 0.724 0.724
Pd 0.500 0.445 0.445
Pt 0.000 0.269 0.269

E above lowest polymorph: 0 meV/atom
Energy of formation from the pure elements: -0.7896 eV per atom


DFT (GGA-PBE) results for crystalline Cs3GaAs at its relaxed geometry.

Cell lengths 7.042, 7.042, 7.042 Å; angles 90.00, 90.00, 90.00 degrees
Fractional positions:
Cs 0.000 0.000 0.500
Cs 0.000 0.500 0.000
Cs 0.500 0.000 0.000
Ga 0.500 0.500 0.500
As 0.000 0.000 0.000

E above lowest polymorph: 438 meV/atom
Energy of formation from the pure elements: 0.2004 eV per atom


DFT (GGA-PBE) results for crystalline Eu2Y4C at its relaxed geometry.

Cell lengths 10.079, 10.079, 10.079 Å; angles 151.30, 151.30, 41.04 degrees
Fractional positions:
Eu 0.174 0.174 0.000
Eu 0.826 0.826 0.000
Y 0.000 0.500 0.500
Y 0.375 0.375 0.000
Y 0.500 0.000 0.500
Y 0.625 0.625 0.000
C 0.500 0.500 0.000

Energy of formation from the pure elements: 0.0937 eV per atom


DFT (GGA-PBE) results for crystalline BaTaNO2 at its relaxed geometry.

Cell lengths 4.138, 4.138, 4.141 Å; angles 90.00, 90.00, 90.00 degrees
Fractional positions:
Ba 0.000 0.000 0.000
Ta 0.500 0.500 0.500
N 0.500 0.500 0.000
O 0.000 0.500 0.500
O 0.500 0.000 0.500

Electronic total energy: -8.6879 eV/atom


DFT (GGA-PBE) results for crystalline Sn2P at its relaxed geometry.

Cell lengths 6.803, 6.803, 5.865 Å; angles 90.00, 90.00, 147.07 degrees
Fractional positions:
Sn 0.027 0.973 0.750
Sn 0.325 0.675 0.750
Sn 0.675 0.325 0.250
Sn 0.973 0.027 0.250
P 0.325 0.675 0.250
P 0.675 0.325 0.750

Energy of formation from the pure elements: 0.0261 eV per atom


DFT (GGA-PBE) results for crystalline ThAg3Br8 at its relaxed geometry.

Cell lengths 8.267, 8.267, 8.514 Å; angles 119.40, 119.40, 60.05 degrees
Fractional positions:
Th 0.000 0.000 0.000
Ag 0.000 0.500 0.000
Ag 0.500 0.000 0.000
Ag 0.500 0.500 0.000
Br 0.238 0.758 0.756
Br 0.242 0.762 0.244
Br 0.243 0.243 0.245
Br 0.272 0.272 0.820
Br 0.728 0.728 0.180
Br 0.757 0.757 0.755
Br 0.758 0.238 0.756
Br 0.762 0.242 0.244

Electronic total energy: -3.3172 eV/atom


DFT (GGA-PBE) results for crystalline MgSn6 at its relaxed geometry.

Cell lengths 7.047, 7.047, 7.047 Å; angles 109.47, 109.47, 109.47 degrees
Fractional positions:
Mg 0.000 0.000 0.000
Sn 0.250 0.500 0.750
Sn 0.250 0.750 0.500
Sn 0.500 0.250 0.750
Sn 0.500 0.750 0.250
Sn 0.750 0.250 0.500
Sn 0.750 0.500 0.250

Energy of formation from the pure elements: 0.2442 eV per atom


DFT (GGA-PBE) results for crystalline AlSbW at its relaxed geometry.

Cell lengths 4.487, 4.487, 4.487 Å; angles 60.00, 60.00, 60.00 degrees
Fractional positions:
Al 0.000 0.000 0.000
Sb 0.500 0.500 0.500
W 0.250 0.250 0.250

E above lowest polymorph: 578 meV/atom


DFT (GGA-PBE) results for crystalline Ta2PdSe5 at its relaxed geometry.

Cell lengths 6.514, 6.514, 12.503 Å; angles 90.00, 90.00, 133.78 degrees
Fractional positions:
Ta 0.176 0.824 0.547
Ta 0.176 0.824 0.953
Ta 0.824 0.176 0.047
Ta 0.824 0.176 0.453
Pd 0.193 0.807 0.250
Pd 0.807 0.193 0.750
Se 0.044 0.956 0.107
Se 0.044 0.956 0.393
Se 0.256 0.744 0.750
Se 0.338 0.662 0.089
Se 0.338 0.662 0.411
Se 0.662 0.338 0.589
Se 0.662 0.338 0.911
Se 0.744 0.256 0.250
Se 0.956 0.044 0.607
Se 0.956 0.044 0.893

Electronic total energy: -6.2028 eV/atom